The following is a PBE calculation of an optimized crystal structure of LaCo2Pt, from Alexandria via LeMat-Bulk.

Cell and atoms, written as extended XYZ:
```
4
Lattice="0.000 3.219 3.219 3.219 0.000 3.219 3.219 3.219 0.000" Properties=species:S:1:pos:R:3 pbc="T T T"
La 0.000 0.000 0.000
Co 1.609 1.609 1.609
Co 4.828 4.828 4.828
Pt 3.219 3.219 3.219
```

Values from the calculation:
SG = Fm-3m
Total moment = 0.58 μB/atom
Calculated total energy = -25.11 eV per cell

The following is a PBE calculation of an optimized crystal structure of LaCoPt3, from Alexandria via LeMat-Bulk.

Cell and atoms, written as extended XYZ:
```
5
Lattice="5.183 0.000 0.000 0.000 5.183 0.000 0.000 0.000 5.183" Properties=species:S:1:pos:R:3 pbc="T T T"
La 0.000 0.000 0.000
Co 2.591 2.591 2.591
Pt 0.000 0.000 2.591
Pt 0.000 2.591 0.000
Pt 2.591 0.000 0.000
```

Values from the calculation:
SG = Pm-3m
Total moment = 0.01 μB/atom
Calculated total energy = -22.33 eV per cell
Energy above the most stable polymorph in this dataset = 1796 meV/atom

The following is a PBE calculation of an optimized crystal structure of LaCo2Pt, from Alexandria via LeMat-Bulk.

Cell and atoms, written as extended XYZ:
```
4
Lattice="3.123 0.000 0.000 0.000 3.123 0.000 0.000 0.000 7.030" Properties=species:S:1:pos:R:3 pbc="T T T"
La 0.000 0.000 0.000
Co 0.000 0.000 3.759
Co 1.561 1.561 4.782
Pt 1.561 1.561 2.172
```

Values from the calculation:
SG = P4mm
Total moment = 0.84 μB/atom
Calculated total energy = -25.40 eV per cell

What is the formula in the second record? LaCoPt3

What is the total moment in the third record? 0.84 μB/atom